a:
Density functional theory data (PBE-GGA) for crystalline Y2PtPb2 at its relaxed geometry.

Output
Mass density = 10.1 g/cm3

a = 7.3580 Å, b = 7.3580 Å, c = 4.7611 Å
α = 90.00°, β = 90.00°, γ = 90.00°
With the nearest neighbours (Å) after each atom.
Atoms (fractional coordinates):
Pb: 0.8535 0.6465 0.0000  2 Pt 2.82, 1 Pb 3.05, 2 Y 3.07
Pb: 0.6465 0.1465 0.0000  2 Pt 2.82, 1 Pb 3.05, 2 Y 3.07
Pb: 0.3535 0.8535 0.0000  2 Pt 2.82, 1 Pb 3.05, 2 Y 3.07
Pb: 0.1465 0.3535 0.0000  2 Pt 2.82, 1 Pb 3.05, 2 Y 3.07
Pt: 0.5000 0.5000 0.0000  4 Pb 2.82
Pt: 0.0000 0.0000 0.0000  4 Pb 2.82
Y: 0.3323 0.1677 0.5000  6 Pb 3.07-3.32
Y: 0.6677 0.8323 0.5000  6 Pb 3.07-3.32
Y: 0.8323 0.3323 0.5000  6 Pb 3.07-3.32
Y: 0.1677 0.6677 0.5000  6 Pb 3.07-3.32

***

b:
Density functional theory data (PBE-GGA) for crystalline Y2PtPb2 at its relaxed geometry.

Output
Mass density = 9.3 g/cm3

a = 7.4946 Å, b = 7.4946 Å, c = 5.0233 Å
α = 90.00°, β = 90.00°, γ = 90.00°
With the nearest neighbours (Å) after each atom.
Atoms (fractional coordinates):
Pt: 0.5000 0.5000 0.0000  4 Y 2.79
Pt: 0.0000 0.0000 0.0000  4 Y 2.79
Pb: 0.1504 0.6504 0.5000  6 Y 3.18-3.46, 1 Pb 3.19
Pb: 0.8496 0.3496 0.5000  6 Y 3.18-3.46, 1 Pb 3.19
Pb: 0.3496 0.1504 0.5000  6 Y 3.18-3.46, 1 Pb 3.19
Pb: 0.6504 0.8496 0.5000  6 Y 3.18-3.46, 1 Pb 3.19
Y: 0.6664 0.1664 0.0000  2 Pt 2.79
Y: 0.3336 0.8336 0.0000  2 Pt 2.79
Y: 0.1664 0.3336 0.0000  2 Pt 2.79
Y: 0.8336 0.6664 0.0000  2 Pt 2.79

***

We find a to be the most stable, with the next structure 7.1 kJ/mol of atoms higher.

***

a:
Density functional theory data (PBE-GGA) for crystalline ZnPtPb3 at its relaxed geometry.

Output
Mass density = 9.2 g/cm3

a = 5.4274 Å, b = 5.4274 Å, c = 5.4274 Å
α = 90.00°, β = 90.00°, γ = 90.00°
With the nearest neighbours (Å) after each atom.
Atoms (fractional coordinates):
Pb: 0.5000 0.0000 0.0000  2 Pt 2.71
Pb: 0.0000 0.0000 0.5000  2 Pt 2.71
Pb: 0.0000 0.5000 0.0000  2 Pt 2.71
Zn: 0.5000 0.5000 0.5000  12 Pb 3.84
Pt: 0.0000 0.0000 0.0000  6 Pb 2.71

***

b:
Density functional theory data (PBE-GGA) for crystalline ZnPtPb3 at its relaxed geometry.

Output
Mass density = 10.2 g/cm3

a = 5.2314 Å, b = 5.2314 Å, c = 5.2314 Å
α = 90.00°, β = 90.00°, γ = 90.00°
With the nearest neighbours (Å) after each atom.
Atoms (fractional coordinates):
Zn: 0.0000 0.0000 0.0000  6 Pb 2.62
Pb: 0.0000 0.5000 0.0000  2 Zn 2.62
Pb: 0.0000 0.0000 0.5000  2 Zn 2.62
Pb: 0.5000 0.0000 0.0000  2 Zn 2.62
Pt: 0.5000 0.5000 0.5000  12 Pb 3.70

***

We find a to be the most stable, with the next structure 31.9 kJ/mol of atoms higher.

***

a:
Density functional theory data (PBE-GGA) for crystalline Zn2PtPb2 at its relaxed geometry.

Output
Mass density = 11.4 g/cm3

a = 6.7968 Å, b = 6.7968 Å, c = 4.6767 Å
α = 90.00°, β = 90.00°, γ = 90.00°
With the nearest neighbours (Å) after each atom.
Atoms (fractional coordinates):
Zn: 0.8611 0.6389 0.0000  2 Pt 2.63, 1 Zn 2.67, 2 Pb 2.92
Zn: 0.3611 0.8611 0.0000  2 Pt 2.63, 1 Zn 2.67, 2 Pb 2.92
Zn: 0.1389 0.3611 0.0000  2 Pt 2.63, 1 Zn 2.67, 2 Pb 2.92
Zn: 0.6389 0.1389 0.0000  2 Pt 2.63, 1 Zn 2.67, 2 Pb 2.92
Pt: 0.0000 0.0000 0.0000  4 Zn 2.63
Pt: 0.5000 0.5000 0.0000  4 Zn 2.63
Pb: 0.6788 0.8212 0.5000  6 Zn 2.92-3.19
Pb: 0.3212 0.1788 0.5000  6 Zn 2.92-3.19
Pb: 0.8212 0.3212 0.5000  6 Zn 2.92-3.19
Pb: 0.1788 0.6788 0.5000  6 Zn 2.92-3.19

***

b:
Density functional theory data (PBE-GGA) for crystalline Zn2PtPb2 at its relaxed geometry.

Output
Mass density = 10.8 g/cm3

a = 3.5144 Å, b = 3.5144 Å, c = 9.5821 Å
α = 79.43°, β = 79.43°, γ = 90.00°
With the nearest neighbours (Å) after each atom.
Atoms (fractional coordinates):
Zn: 0.2500 0.7500 0.5000  4 Zn 2.49
Zn: 0.7500 0.2500 0.5000  4 Zn 2.49
Pb: 0.5911 0.5911 0.8177  4 Pt 3.00
Pb: 0.4089 0.4089 0.1823  4 Pt 3.00
Pt: 0.0000 0.0000 0.0000  8 Pb 3.00

***

c:
Density functional theory data (PBE-GGA) for crystalline Zn2PtPb2 at its relaxed geometry.

Output
Mass density = 10.4 g/cm3

a = 7.3796 Å, b = 7.3796 Å, c = 4.3340 Å
α = 90.00°, β = 90.00°, γ = 90.00°
With the nearest neighbours (Å) after each atom.
Atoms (fractional coordinates):
Pt: 0.5000 0.5000 0.0000  4 Pb 2.76
Pt: 0.0000 0.0000 0.0000  4 Pb 2.76
Zn: 0.1372 0.6372 0.5000  1 Zn 2.86, 6 Pb 2.99-3.12
Zn: 0.3628 0.1372 0.5000  1 Zn 2.86, 6 Pb 2.99-3.12
Zn: 0.8628 0.3628 0.5000  1 Zn 2.86, 6 Pb 2.99-3.12
Zn: 0.6372 0.8628 0.5000  1 Zn 2.86, 6 Pb 2.99-3.12
Pb: 0.6651 0.1651 0.0000  2 Pt 2.76, 2 Zn 2.99
Pb: 0.1651 0.3349 0.0000  2 Pt 2.76, 2 Zn 2.99
Pb: 0.8349 0.6651 0.0000  2 Pt 2.76, 2 Zn 2.99
Pb: 0.3349 0.8349 0.0000  2 Pt 2.76, 2 Zn 2.99

***

We find a to be the most stable, with the next structure 7.3 kJ/mol of atoms higher.

***

a:
Density functional theory data (PBE-GGA) for crystalline ZrPtPb2 at its relaxed geometry.

Output
Mass density = 13.1 g/cm3

a = 4.6459 Å, b = 4.6459 Å, c = 4.1082 Å
α = 90.00°, β = 90.00°, γ = 90.00°
With the nearest neighbours (Å) after each atom.
Atoms (fractional coordinates):
Pb: 0.0000 0.0000 0.0000  4 Zr 3.10, 4 Pt 3.10, 4 Pb 3.29
Pb: 0.5000 0.5000 0.0000  4 Zr 3.10, 4 Pt 3.10, 4 Pb 3.29
Zr: 0.0000 0.5000 0.5000  8 Pb 3.10, 4 Pt 3.29
Pt: 0.5000 0.0000 0.5000  8 Pb 3.10, 4 Zr 3.29

***

b:
Density functional theory data (PBE-GGA) for crystalline ZrPtPb2 at its relaxed geometry.

Output
Mass density = 11.7 g/cm3

a = 3.4111 Å, b = 3.4410 Å, c = 9.1208 Å
α = 67.79°, β = 90.00°, γ = 90.00°
With the nearest neighbours (Å) after each atom.
Atoms (fractional coordinates):
Pb: 0.0000 0.0359 0.9646  4 Zr 3.30, 4 Pb 3.41-3.44, 1 Pt 3.58
Pb: 0.5000 0.2056 0.2952  4 Pt 3.19, 1 Zr 3.41, 4 Pb 3.41-3.44
Pt: 0.0000 0.4584 0.5412  4 Zr 2.77
Zr: 0.5000 0.8001 0.6991  4 Pt 2.77

***

c:
Density functional theory data (PBE-GGA) for crystalline ZrPtPb2 at its relaxed geometry.

Output
Mass density = 12.4 g/cm3

a = 5.1019 Å, b = 5.1019 Å, c = 5.1019 Å
α = 60.00°, β = 60.00°, γ = 60.00°
With the nearest neighbours (Å) after each atom.
Atoms (fractional coordinates):
Pt: 0.5000 0.5000 0.5000  4 Zr 3.12, 4 Pb 3.12
Zr: 0.7500 0.7500 0.7500  4 Pb 3.12, 4 Pt 3.12
Pb: 0.2500 0.2500 0.2500  4 Pb 3.12, 4 Pt 3.12
Pb: 0.0000 0.0000 0.0000  4 Zr 3.12, 4 Pb 3.12

***

d:
Density functional theory data (PBE-GGA) for crystalline ZrPtPb2 at its relaxed geometry.

Output
Mass density = 12.6 g/cm3

a = 4.5339 Å, b = 3.3719 Å, c = 6.0614 Å
α = 84.29°, β = 90.00°, γ = 90.00°
With the nearest neighbours (Å) after each atom.
Atoms (fractional coordinates):
Pt: 0.5000 0.2500 0.2500  4 Pb 2.80
Pb: 0.0000 0.0754 0.0077  2 Pt 2.80, 2 Zr 3.02
Pb: 0.0000 0.4246 0.4923  2 Pt 2.80, 2 Zr 3.02
Zr: 0.5000 0.7500 0.7500  4 Pb 3.02, 2 Pt 3.32, 2 Zr 3.37

***

We find b to be the most stable, with the next structure 21.9 kJ/mol of atoms higher.

***

a:
Density functional theory data (PBE-GGA) for crystalline ZrPtPb2 at its relaxed geometry.

Output
Mass density = 12.6 g/cm3

a = 9.8158 Å, b = 9.8158 Å, c = 9.8158 Å
α = 19.49°, β = 19.49°, γ = 19.49°
With the nearest neighbours (Å) after each atom.
Atoms (fractional coordinates):
Pt: 0.2500 0.2500 0.2500  6 Pb 2.90
Zr: 0.7500 0.7500 0.7500  6 Pb 3.26, 6 Zr 3.32
Pb: 0.9921 0.9921 0.9921  3 Pt 2.90
Pb: 0.5079 0.5079 0.5079  3 Pt 2.90

***

b:
Density functional theory data (PBE-GGA) for crystalline ZrPtPb2 at its relaxed geometry.

Output
Mass density = 12.2 g/cm3

a = 6.1880 Å, b = 6.1880 Å, c = 6.1880 Å
α = 147.44°, β = 130.77°, γ = 60.27°
With the nearest neighbours (Å) after each atom.
Atoms (fractional coordinates):
Pt: 0.4782 0.4782 0.0000  2 Zr 2.68
Pb: 0.0107 0.0107 0.0000  4 Pt 3.13, 2 Zr 3.43, 4 Pb 3.44-3.47
Pb: 0.7238 0.2238 0.5000  2 Pt 3.15, 4 Zr 3.18, 6 Pb 3.44-3.53
Zr: 0.2872 0.7872 0.5000  2 Pt 2.68

***

c:
Density functional theory data (PBE-GGA) for crystalline ZrPtPb2 at its relaxed geometry.

Output
Mass density = 12.7 g/cm3

a = 3.6067 Å, b = 3.6067 Å, c = 7.2295 Å
α = 90.00°, β = 90.00°, γ = 102.48°
With the nearest neighbours (Å) after each atom.
Atoms (fractional coordinates):
Pb: 0.0000 0.0000 0.0224  2 Pt 2.79, 2 Zr 3.00
Pb: 0.0000 0.0000 0.4776  2 Pt 2.79, 2 Zr 3.00
Zr: 0.5000 0.5000 0.7500  4 Pb 3.00
Pt: 0.5000 0.5000 0.2500  4 Pb 2.79

***

We find b to be the most stable, with the next structure 15.0 kJ/mol of atoms higher.

***

a:
Density functional theory data (PBE-GGA) for crystalline Zr2PtPb2 at its relaxed geometry.

Output
Mass density = 11.5 g/cm3

a = 7.1904 Å, b = 7.1904 Å, c = 4.4394 Å
α = 90.00°, β = 90.00°, γ = 90.00°
With the nearest neighbours (Å) after each atom.
Atoms (fractional coordinates):
Pb: 0.3545 0.8545 0.0000  2 Pt 2.76, 2 Zr 2.95, 1 Pb 2.96
Pb: 0.6455 0.1455 0.0000  2 Pt 2.76, 2 Zr 2.95, 1 Pb 2.96
Pb: 0.8545 0.6455 0.0000  2 Pt 2.76, 2 Zr 2.95, 1 Pb 2.96
Pb: 0.1455 0.3545 0.0000  2 Pt 2.76, 2 Zr 2.95, 1 Pb 2.96
Zr: 0.3371 0.1629 0.5000  6 Pb 2.95-3.14
Zr: 0.1629 0.6629 0.5000  6 Pb 2.95-3.14
Zr: 0.6629 0.8371 0.5000  6 Pb 2.95-3.14
Zr: 0.8371 0.3371 0.5000  6 Pb 2.95-3.14
Pt: 0.5000 0.5000 0.0000  4 Pb 2.76
Pt: 0.0000 0.0000 0.0000  4 Pb 2.76

***

b:
Density functional theory data (PBE-GGA) for crystalline Zr2PtPb2 at its relaxed geometry.

Output
Mass density = 10.8 g/cm3

a = 7.1156 Å, b = 7.1156 Å, c = 4.8306 Å
α = 90.00°, β = 90.00°, γ = 90.00°
With the nearest neighbours (Å) after each atom.
Atoms (fractional coordinates):
Pb: 0.6604 0.8396 0.5000  6 Zr 3.03-3.31, 1 Pb 3.23
Pb: 0.8396 0.3396 0.5000  6 Zr 3.03-3.31, 1 Pb 3.23
Pb: 0.3396 0.1604 0.5000  6 Zr 3.03-3.31, 1 Pb 3.23
Pb: 0.1604 0.6604 0.5000  6 Zr 3.03-3.31, 1 Pb 3.23
Zr: 0.8418 0.6582 0.0000  2 Pt 2.68
Zr: 0.6582 0.1582 0.0000  2 Pt 2.68
Zr: 0.1582 0.3418 0.0000  2 Pt 2.68
Zr: 0.3418 0.8418 0.0000  2 Pt 2.68
Pt: 0.0000 0.0000 0.0000  4 Zr 2.68
Pt: 0.5000 0.5000 0.0000  4 Zr 2.68

***

We find b to be the most stable, with the next structure 9.5 kJ/mol of atoms higher.